# Dy3Mg4Cd2, relaxed, DFT PBE
data_Dy3Mg4Cd2
_chemical_formula_sum 'Dy6 Mg8 Cd4'
_space_group_name_H-M_alt 'C 1 2/m 1'
_space_group_IT_number 12
_cell_length_a 11.0865
_cell_length_b 5.1221
_cell_length_c 9.4634
_cell_angle_alpha 90.00
_cell_angle_beta 122.89
_cell_angle_gamma 90.00
loop_
_space_group_symop_operation_xyz
'x,y,z'
'-x,-y,-z'
'-x,y,-z'
'x,-y,z'
'x+1/2,y+1/2,z'
'-x+1/2,-y+1/2,-z'
'-x+1/2,y+1/2,-z'
'x+1/2,-y+1/2,z'
loop_
_atom_site_label
_atom_site_fract_x
_atom_site_fract_y
_atom_site_fract_z
Dy1 0.0000 0.0000 0.0000
Dy2 0.1656 0.5000 0.6670
Mg1 0.0617 0.0000 0.3920
Mg2 0.2165 0.5000 0.0525
Cd1 0.1107 0.5000 0.2772
# Total energy: -2.617 eV per atom
# Calculated volume: 451.27 Å³ per cell
# Density of states at the Fermi level: 6.7 states/eV/f.u.
# ΔE to the lowest computed polymorph: 0.00 kcal/mol of atoms